No. 1
VASP calculation (GGA-PBE) on an optimized crystal structure of ZrInRh2.

CIF file:
```
data_ZrInRh2
_chemical_formula_sum 'Zr4 In4 Rh8'
_space_group_name_H-M_alt 'F -4 3 m'
_space_group_IT_number 216
_space_group_name_Hall 'F -4 2 3'
_cell_length_a 6.572
_cell_length_b 6.572
_cell_length_c 6.572
_cell_angle_alpha 90.00
_cell_angle_beta 90.00
_cell_angle_gamma 90.00
loop_
_atom_site_label
_atom_site_type_symbol
_atom_site_fract_x
_atom_site_fract_y
_atom_site_fract_z
_atom_site_occupancy
Zr1 Zr 0.000 0.000 0.000 1
In1 In 0.250 0.250 0.750 1
Rh1 Rh 0.000 0.000 0.500 1
Rh2 Rh 0.250 0.250 0.250 1
```

Calculated values
Crystal system   cubic
Formation energy   -0.24 eV/atom
Spin magnetization   0.00 μB/cell

No. 2
VASP calculation (GGA-PBE) on an optimized crystal structure of TaAgBr2F.

CIF file:
```
data_TaAgBr2F
_chemical_formula_sum 'Ta1 Ag1 Br2 F1'
_space_group_name_H-M_alt 'P 4/m m m'
_space_group_IT_number 123
_space_group_name_Hall '-P 4 2'
_cell_length_a 4.970
_cell_length_b 4.970
_cell_length_c 5.418
_cell_angle_alpha 90.00
_cell_angle_beta 90.00
_cell_angle_gamma 90.00
loop_
_atom_site_label
_atom_site_type_symbol
_atom_site_fract_x
_atom_site_fract_y
_atom_site_fract_z
_atom_site_occupancy
Ta1 Ta 0.000 0.000 0.000 1
Ag1 Ag 0.000 0.000 0.500 1
Br1 Br 0.000 0.500 0.000 1
F1 F 0.500 0.500 0.500 1
```

Calculated values
Raw formation energy   0.001 eV per atom
Crystal system   tetragonal
Spin magnetization   0.00 μB/cell

No. 3
VASP calculation (GGA-PBE) on an optimized crystal structure of Ce2NdNi2Ge2.

CIF file:
```
data_Ce2NdNi2Ge2
_chemical_formula_sum 'Ce6 Nd3 Ni6 Ge6'
_space_group_name_H-M_alt 'R -3 m'
_space_group_IT_number 166
_space_group_name_Hall '-R 3 2"'
_cell_length_a 4.2419
_cell_length_b 4.2419
_cell_length_c 27.0904
_cell_angle_alpha 90.00
_cell_angle_beta 90.00
_cell_angle_gamma 120.00
loop_
_atom_site_label
_atom_site_type_symbol
_atom_site_fract_x
_atom_site_fract_y
_atom_site_fract_z
_atom_site_occupancy
Ce1 Ce 0.0000 0.0000 0.1380 1
Nd1 Nd 0.0000 0.0000 0.0000 1
Ni1 Ni 0.0000 0.0000 0.4140 1
Ge1 Ge 0.0000 0.0000 0.2610 1
```

Calculated values
Crystal system   trigonal
Formation energy   -0.64 eV/atom
Spin magnetization   2.22 μB/cell

No. 4
VASP calculation (GGA-PBE) on an optimized crystal structure of ZnInTc2.

CIF file:
```
data_ZnInTc2
_chemical_formula_sum 'Zn1 In1 Tc2'
_space_group_name_H-M_alt 'P m m m'
_space_group_IT_number 47
_cell_length_a 3.206
_cell_length_b 4.448
_cell_length_c 4.491
_cell_angle_alpha 90.00
_cell_angle_beta 90.00
_cell_angle_gamma 90.00
loop_
_space_group_symop_operation_xyz
'x,y,z'
'-x,-y,-z'
'-x,-y,z'
'x,y,-z'
'x,-y,-z'
'-x,y,z'
'-x,y,-z'
'x,-y,z'
loop_
_atom_site_label
_atom_site_type_symbol
_atom_site_fract_x
_atom_site_fract_y
_atom_site_fract_z
_atom_site_occupancy
Zn1 Zn 0.000 0.000 0.000 1
In1 In 0.500 0.500 0.000 1
Tc1 Tc 0.000 0.500 0.500 1
Tc2 Tc 0.500 0.000 0.500 1
```

Calculated values
Crystal system   orthorhombic
Formation energy   0.33 eV/atom
Spin magnetization   0.00 μB/cell
Polymorph energy (0 for the lowest one)   25.24 kJ/mol of atoms

No. 5
VASP calculation (GGA-PBE) on an optimized crystal structure of NbRuCl2.

CIF file:
```
data_NbRuCl2
_chemical_formula_sum 'Nb3 Ru3 Cl6'
_space_group_name_H-M_alt 'R -3 m'
_space_group_IT_number 166
_space_group_name_Hall '-R 3 2"'
_cell_length_a 3.0775
_cell_length_b 3.0775
_cell_length_c 24.7071
_cell_angle_alpha 90.00
_cell_angle_beta 90.00
_cell_angle_gamma 120.00
loop_
_atom_site_label
_atom_site_type_symbol
_atom_site_fract_x
_atom_site_fract_y
_atom_site_fract_z
_atom_site_occupancy
Nb1 Nb 0.0000 0.0000 0.0000 1
Ru1 Ru 0.0000 0.0000 0.5000 1
Cl1 Cl 0.0000 0.0000 0.4068 1
```

Calculated values
Raw formation energy   -0.001 eV per atom
Crystal system   trigonal
Spin magnetization   0.00 μB/cell
Polymorph energy (0 for the lowest one)   0.00 kJ/mol of atoms

No. 6
VASP calculation (GGA-PBE) on an optimized crystal structure of PrSmDyTl.

CIF file:
```
data_PrSmDyTl
_chemical_formula_sum 'Pr1 Sm1 Dy1 Tl1'
_space_group_name_H-M_alt 'P m m m'
_space_group_IT_number 47
_cell_length_a 4.886
_cell_length_b 4.928
_cell_length_c 5.014
_cell_angle_alpha 90.00
_cell_angle_beta 90.00
_cell_angle_gamma 90.00
loop_
_space_group_symop_operation_xyz
'x,y,z'
'-x,-y,-z'
'-x,-y,z'
'x,y,-z'
'x,-y,-z'
'-x,y,z'
'-x,y,-z'
'x,-y,z'
loop_
_atom_site_label
_atom_site_type_symbol
_atom_site_fract_x
_atom_site_fract_y
_atom_site_fract_z
_atom_site_occupancy
Pr1 Pr 0.000 0.000 0.000 1
Sm1 Sm 0.500 0.500 0.000 1
Dy1 Dy 0.500 0.000 0.500 1
Tl1 Tl 0.000 0.500 0.500 1
```

Calculated values
Crystal system   orthorhombic
Formation energy   -0.19 eV/atom
Spin magnetization   0.01 μB/cell
Polymorph energy (0 for the lowest one)   0.00 kJ/mol of atoms